(1)
Entry from Alexandria via LeMat-Bulk: crystalline SeIBr2O at its relaxed geometry (GGA-PBE).

Cell: 4.996 4.996 4.514 Å, 90.00 90.00 90.00°
Space group P4/mmm (No. 123)
Asymmetric unit:
Se 0.000 0.000 0.000 (multiplicity 1)
I 0.500 0.500 0.000 (multiplicity 1)
Br 0.000 0.500 0.500 (multiplicity 2)
O 0.000 0.000 0.500 (multiplicity 1)

Calculated values
The total magnetic moment is 0.00 μB/f.u. Its distance to the lowest polymorph of the same formula is 0.0 meV per atom. The calculation puts the uncorrected formation energy at 3.4 eV/f.u. The volume comes out at 22.534 A^3/atom. The value obtained for the total energy is -9.97 eV per cell. The value obtained for the density of states at the Fermi level is 4.12 states/eV per cell.

(2)
Entry from Alexandria via LeMat-Bulk: crystalline Sr2ZrIn at its relaxed geometry (GGA-PBE).

Cell: 7.966 7.966 7.966 Å, 90.00 90.00 90.00°
Space group F-43m (No. 216)
Asymmetric unit:
Sr 0.000 0.000 0.000 (multiplicity 4)
Sr 0.250 0.250 0.250 (multiplicity 4)
Zr 0.250 0.250 0.750 (multiplicity 4)
In 0.000 0.000 0.500 (multiplicity 4)

Calculated values
The total magnetic moment is 1.71 μB/f.u. The formation energy is 5.9 kcal/mol of atoms. The volume comes out at 31.598 A^3/atom. The value obtained for the total energy is -54.48 eV per cell. The value obtained for the density of states at the Fermi level is 25.13 states/eV per cell.